# 1
Computed, not measured: an optimized crystal structure of ZnAsOs2 at the PBE level of DFT.

## Properties
The calculation puts the formation enthalpy at 0 K at 86 kJ/mol of formula units. As for the space-group type: No. 99.

The structure in extended XYZ format:
```
4
Lattice="2.854 0.000 0.000 0.000 2.854 0.000 0.000 0.000 8.100" Properties=species:S:1:pos:R:3 pbc="T T T"
Zn 0.000 0.000 0.000
As 1.427 1.427 2.893
Os 0.000 0.000 4.592
Os 1.427 1.427 6.367
```


# 2
Computed, not measured: an optimized crystal structure of Zn2AsOs at the PBE level of DFT.

## Properties
The calculation puts the formation enthalpy at 0 K at 134 kJ/mol of formula units. As for the space-group type: No. 123.

The structure in extended XYZ format:
```
4
Lattice="2.790 0.000 0.000 0.000 2.790 0.000 0.000 0.000 8.277" Properties=species:S:1:pos:R:3 pbc="T T T"
Zn 0.000 0.000 1.816
Zn 0.000 0.000 6.461
As 1.395 1.395 4.138
Os 1.395 1.395 0.000
```


# 3
Computed, not measured: an optimized crystal structure of Zn2AsOs at the PBE level of DFT.

## Properties
The calculation puts the formation enthalpy at 0 K at 119 kJ/mol of formula units. As for the space-group type: No. 141.

The structure in extended XYZ format:
```
16
Lattice="9.674 0.000 0.000 0.000 9.674 0.000 0.000 0.000 4.596" Properties=species:S:1:pos:R:3 pbc="T T T"
Zn 0.000 0.000 0.000
Zn 0.000 4.837 0.000
Zn 2.419 2.419 3.447
Zn 2.419 7.256 1.149
Zn 4.837 0.000 2.298
Zn 4.837 4.837 2.298
Zn 7.256 2.419 3.447
Zn 7.256 7.256 1.149
As 0.000 2.419 1.723
As 0.000 7.256 2.872
As 4.837 2.419 0.574
As 4.837 7.256 4.021
Os 0.000 2.419 4.021
Os 0.000 7.256 0.574
Os 4.837 2.419 2.872
Os 4.837 7.256 1.723
```